No. 1
DFT (PBE) results for a relaxed structure of Li2Zn3Ni2. Values from VASP.

```
&SYSTEM
  ibrav = 0, nat = 7, ntyp = 3
/
ATOMIC_SPECIES
Li 6.94 Li.upf
Zn 65.41 Zn.upf
Ni 58.69 Ni.upf
ATOMIC_POSITIONS angstrom
Li 2.810 -1.740 2.995
Li 1.416 0.287 2.173
Zn 0.000 0.000 0.000
Zn 1.268 -2.072 0.893
Zn 2.958 0.619 4.275
Ni 0.081 -1.908 3.129
Ni 4.145 0.454 2.038
CELL_PARAMETERS angstrom
-1.339 -4.418 -0.435
5.424 2.476 1.196
0.141 0.489 4.407
```

Space group: P-1
Uncorrected energy: -0.10683 Ha/atom


No. 2
DFT (PBE) results for a relaxed structure of Li6Zn7Ni16. Values from VASP.

```
&SYSTEM
  ibrav = 0, nat = 29, ntyp = 3
/
ATOMIC_SPECIES
Li 6.94 Li.upf
Zn 65.41 Zn.upf
Ni 58.69 Ni.upf
ATOMIC_POSITIONS angstrom
Li 3.383 5.257 5.859
Li 6.084 1.437 10.537
Li 3.383 5.257 10.537
Li 6.084 1.437 5.859
Li 2.032 1.437 8.198
Li 7.434 5.257 8.198
Zn 4.733 3.347 8.198
Zn 3.550 0.000 6.148
Zn 1.183 3.347 2.049
Zn 3.550 0.000 2.049
Zn 1.183 3.347 6.148
Zn 4.733 3.347 4.099
Zn 0.000 0.000 4.099
Ni 5.694 5.517 12.297
Ni 7.100 3.530 12.297
Ni 7.802 5.517 13.514
Ni 7.802 5.517 11.080
Ni 2.367 3.164 4.099
Ni 3.772 1.177 4.099
Ni 1.664 1.177 2.882
Ni 1.664 1.177 5.316
Ni 2.435 4.159 8.198
Ni 4.733 0.910 8.198
Ni 5.882 4.159 10.188
Ni 5.882 4.159 6.208
Ni 4.733 5.784 8.198
Ni 7.031 2.534 8.198
Ni 3.584 2.534 6.208
Ni 3.584 2.534 10.188
CELL_PARAMETERS angstrom
7.100 0.000 4.099
2.367 6.694 4.099
0.000 0.000 8.198
```

Space group: Fm-3m
Uncorrected energy: -0.14628 Ha/atom


No. 3
DFT (PBE) results for a relaxed structure of Li2Zn7Ni2. Values from VASP.

```
&SYSTEM
  ibrav = 0, nat = 11, ntyp = 3
/
ATOMIC_SPECIES
Li 6.94 Li.upf
Zn 65.41 Zn.upf
Ni 58.69 Ni.upf
ATOMIC_POSITIONS angstrom
Li 2.983 -0.001 0.639
Li 0.455 7.764 3.021
Zn 4.159 2.548 1.258
Zn 0.997 5.213 4.231
Zn -0.721 5.215 2.403
Zn 2.442 2.550 -0.570
Zn 0.000 0.000 0.000
Zn 1.720 5.952 1.831
Zn 1.718 1.810 1.829
Ni 2.644 3.880 2.814
Ni 0.795 3.882 0.847
CELL_PARAMETERS angstrom
4.881 -0.002 -1.144
0.003 7.766 0.004
-1.446 -0.002 4.801
```

Space group: Cmmm
E above lowest polymorph: 211 meV/atom


No. 4
DFT (PBE) results for a relaxed structure of LiZn3Ni5. Values from VASP.

```
&SYSTEM
  ibrav = 0, nat = 18, ntyp = 3
/
ATOMIC_SPECIES
Li 6.94 Li.upf
Zn 65.41 Zn.upf
Ni 58.69 Ni.upf
ATOMIC_POSITIONS angstrom
Li 3.217 0.000 2.708
Li 0.000 3.217 2.708
Zn 3.997 0.781 0.000
Zn 2.436 5.652 0.000
Zn 5.652 3.997 0.000
Zn 0.781 2.436 0.000
Zn 0.000 0.000 2.708
Zn 3.217 3.217 2.708
Ni -1.926 1.291 3.879
Ni 1.926 -1.291 3.879
Ni -1.291 -1.926 3.879
Ni 1.291 1.926 3.879
Ni 5.143 1.926 1.536
Ni 1.291 4.507 1.536
Ni 4.507 5.143 1.536
Ni 1.926 1.291 1.536
Ni 3.217 3.217 0.000
Ni 0.000 0.000 0.000
CELL_PARAMETERS angstrom
6.433 0.000 0.000
0.000 6.433 0.000
-3.217 -3.217 5.415
```

Space group: I4/mcm
Uncorrected energy: -0.13616 Ha/atom


No. 5
DFT (PBE) results for a relaxed structure of LiZnNi2. Values from VASP.

```
&SYSTEM
  ibrav = 0, nat = 4, ntyp = 3
/
ATOMIC_SPECIES
Ni 58.69 Ni.upf
Zn 65.41 Zn.upf
Li 6.94 Li.upf
ATOMIC_POSITIONS angstrom
Ni -0.340 1.059 5.392
Ni -0.110 0.513 2.784
Zn -1.003 -1.518 1.654
Li -1.153 -0.994 4.379
CELL_PARAMETERS angstrom
-1.856 -3.560 0.582
1.764 -0.651 1.643
-2.064 1.699 3.808
```

Space group: P2/m
Uncorrected energy: -0.13912 Ha/atom


No. 6
DFT (PBE) results for a relaxed structure of Li2ZnNi2. Values from VASP.

```
&SYSTEM
  ibrav = 0, nat = 10, ntyp = 3
/
ATOMIC_SPECIES
Ni 58.69 Ni.upf
Zn 65.41 Zn.upf
Li 6.94 Li.upf
ATOMIC_POSITIONS angstrom
Ni 1.206 4.509 1.349
Ni 4.509 5.399 1.349
Ni 5.399 2.096 1.349
Ni 2.096 1.206 1.349
Zn 0.000 0.000 0.000
Zn 3.303 3.303 0.000
Li 2.513 5.816 0.000
Li 5.816 4.092 0.000
Li 4.092 0.789 0.000
Li 0.789 2.513 0.000
CELL_PARAMETERS angstrom
6.605 0.000 0.000
0.000 6.605 0.000
0.000 0.000 2.697
```

Space group: P4/mbm
E above lowest polymorph: 162 meV/atom


No. 7
DFT (PBE) results for a relaxed structure of Li8ZnNi2. Values from VASP.

```
&SYSTEM
  ibrav = 0, nat = 11, ntyp = 3
/
ATOMIC_SPECIES
Li 6.94 Li.upf
Zn 65.41 Zn.upf
Ni 58.69 Ni.upf
ATOMIC_POSITIONS angstrom
Li -4.682 -3.443 -0.340
Li -5.343 -3.927 2.500
Li -2.051 -4.143 -1.218
Li -3.566 -5.592 4.002
Li -0.274 -5.808 0.283
Li -0.935 -6.292 3.123
Li -2.160 -3.644 1.446
Li -3.457 -6.091 1.337
Zn 0.000 0.000 0.000
Ni -1.008 -2.059 -0.686
Ni -4.609 -7.677 3.469
CELL_PARAMETERS angstrom
-1.024 -2.703 -3.018
1.920 -5.778 3.496
-6.513 -1.254 2.305
```

Space group: C2/m
Uncorrected energy: -0.08997 Ha/atom


No. 8
DFT (PBE) results for a relaxed structure of Li14ZnNi. Values from VASP.

```
&SYSTEM
  ibrav = 0, nat = 16, ntyp = 3
/
ATOMIC_SPECIES
Li 6.94 Li.upf
Zn 65.41 Zn.upf
Ni 58.69 Ni.upf
ATOMIC_POSITIONS angstrom
Li -0.884 3.947 0.000
Li 3.437 1.091 0.000
Li -1.109 2.415 4.709
Li 0.527 1.337 0.000
Li 0.437 4.754 4.709
Li 2.070 3.672 0.000
Li 1.833 0.509 6.829
Li 1.833 0.509 2.589
Li 3.344 2.794 6.829
Li 3.344 2.794 2.589
Li 0.526 3.015 6.923
Li 0.526 3.015 2.495
Li 4.842 0.162 7.030
Li 4.842 0.162 2.389
Zn -2.578 5.066 4.709
Ni 1.758 2.200 4.709
CELL_PARAMETERS angstrom
5.899 -0.536 0.000
-2.805 5.217 0.000
0.000 0.000 9.418
```

Space group: Amm2
Uncorrected energy: -0.07726 Ha/atom